# Ca2Hg2Pt | Alexandria via LeMat-Bulk | PBE-GGA | optimized geometry
# - D(E_F): 0.5956 states/eV per atom
# - Total energy: -2.59 eV per atom
# - Excess energy over the best structure of this formula in the dataset: 0 meV per atom
# - Spin magnetization: 0.000 μB per cell
data_Ca2Hg2Pt
_cell_length_a 7.480
_cell_length_b 7.480
_cell_length_c 4.479
_cell_angle_alpha 90.00
_cell_angle_beta 90.00
_cell_angle_gamma 90.00
_space_group_name_H-M_alt 'P 4/m b m'
_space_group_IT_number 127
_space_group_name_Hall '-P 4 2ab'
loop_
_atom_site_label
_atom_site_type_symbol
_atom_site_fract_x
_atom_site_fract_y
_atom_site_fract_z
_atom_site_occupancy
Ca1 Ca 0.177 0.323 0.000 1
Hg1 Hg 0.136 0.636 0.500 1
Pt1 Pt 0.000 0.000 0.500 1